# Rb3Na2PuF9 (PBE, relaxed)
data_Rb3Na2PuF9
_chemical_formula_sum 'Rb3 Na2 Pu1 F9'
_space_group_name_H-M_alt 'P 1'
_space_group_IT_number 1
_cell_length_a 6.340
_cell_length_b 6.340
_cell_length_c 8.138
_cell_angle_alpha 90.00
_cell_angle_beta 90.00
_cell_angle_gamma 120.00
loop_
_space_group_symop_operation_xyz
'x,y,z'
loop_
_atom_site_label
_atom_site_type_symbol
_atom_site_fract_x
_atom_site_fract_y
_atom_site_fract_z
Rb1 Rb 0.000 0.000 0.000
Rb2 Rb 0.333 0.667 0.749
Rb3 Rb 0.667 0.333 0.251
Na1 Na 0.333 0.667 0.159
Na2 Na 0.667 0.333 0.841
Pu1 Pu 0.000 0.000 0.500
F1 F 0.000 0.500 0.000
F2 F 0.158 0.316 0.343
F3 F 0.158 0.842 0.343
F4 F 0.316 0.158 0.657
F5 F 0.500 0.000 0.000
F6 F 0.500 0.500 0.000
F7 F 0.684 0.842 0.343
F8 F 0.842 0.158 0.657
F9 F 0.842 0.684 0.657
# * formation energy without anion corrections: -3006 meV per atom

***

# Na2PuScF8 (PBE, relaxed)
data_Na2PuScF8
_chemical_formula_sum 'Na2 Pu1 Sc1 F8'
_space_group_name_H-M_alt 'P 1'
_space_group_IT_number 1
_cell_length_a 3.805
_cell_length_b 7.592
_cell_length_c 5.564
_cell_angle_alpha 90.00
_cell_angle_beta 90.06
_cell_angle_gamma 90.00
loop_
_space_group_symop_operation_xyz
'x,y,z'
loop_
_atom_site_label
_atom_site_type_symbol
_atom_site_fract_x
_atom_site_fract_y
_atom_site_fract_z
Na1 Na 0.000 0.230 0.000
Na2 Na 0.000 0.770 0.000
Pu1 Pu 0.500 0.500 0.500
Sc1 Sc 0.500 0.000 0.500
F1 F 0.000 0.500 0.252
F2 F 0.000 0.500 0.748
F3 F 0.001 0.000 0.286
F4 F 0.499 0.229 0.727
F5 F 0.499 0.771 0.727
F6 F 0.501 0.229 0.273
F7 F 0.501 0.771 0.273
F8 F 0.999 0.000 0.714
# * formation energy without anion corrections: -3429 meV per atom

***

Among the records above, which one has the lowest formation energy without anion corrections? Na2PuScF8

***

The highest formation energy without anion corrections belongs to which entry? Rb3Na2PuF9

***

What is the formation energy without anion corrections in the first record? -3006 meV per atom